Record 1
The following is a PBE calculation of a geometry-optimized Tl2GaHg2 structure, from Alexandria. Values from VASP.

Results
- formation energy from the elements (eV per formula unit) = 0.36
- M_tot (μB per cell) = 0.0
- energy above the most stable polymorph in this dataset (eV per atom) = 0.0559

Cell and atoms, written as Quantum ESPRESSO input:
```
&SYSTEM
  ibrav = 0, nat = 10, ntyp = 3
/
ATOMIC_SPECIES
Tl 204.38 Tl.upf
Ga 69.72 Ga.upf
Hg 200.59 Hg.upf
ATOMIC_POSITIONS angstrom
Tl 1.269 2.480 0.000
Tl 2.480 6.230 0.000
Tl 5.018 1.269 0.000
Tl 6.230 5.018 0.000
Ga 0.000 0.000 2.486
Ga 3.749 3.749 2.486
Hg 1.075 4.824 2.486
Hg 2.674 1.075 2.486
Hg 4.824 6.423 2.486
Hg 6.423 2.674 2.486
CELL_PARAMETERS angstrom
7.498 0.000 0.000
0.000 7.498 0.000
0.000 0.000 4.972
```



Record 2
The following is a PBE calculation of a geometry-optimized YV2SbC structure, from Alexandria. Values from VASP.

Results
- uncorrected formation energy (eV per atom) = 2.1125
- M_tot (μB per cell) = 0.0

Cell and atoms, written as Quantum ESPRESSO input:
```
&SYSTEM
  ibrav = 0, nat = 5, ntyp = 4
/
ATOMIC_SPECIES
Y 88.91 Y.upf
V 50.94 V.upf
Sb 121.76 Sb.upf
C 12.01 C.upf
ATOMIC_POSITIONS angstrom
Y 0.000 0.000 0.000
V 0.000 2.478 0.000
V 2.478 0.000 0.000
Sb 2.478 2.478 2.110
C 0.000 0.000 2.110
CELL_PARAMETERS angstrom
4.956 0.000 0.000
0.000 4.956 0.000
0.000 0.000 4.219
```



Record 3
The following is a PBE calculation of a geometry-optimized BaSrHg2 structure, from Alexandria. Values from VASP.

Results
- formation energy from the elements (eV per formula unit) = -1.95
- M_tot (μB per cell) = 0.0

Cell and atoms, written as Quantum ESPRESSO input:
```
&SYSTEM
  ibrav = 0, nat = 4, ntyp = 3
/
ATOMIC_SPECIES
Ba 137.33 Ba.upf
Sr 87.62 Sr.upf
Hg 200.59 Hg.upf
ATOMIC_POSITIONS angstrom
Ba 0.000 0.000 0.000
Sr 2.683 0.000 3.442
Hg 0.000 0.000 9.042
Hg 2.683 0.000 6.998
CELL_PARAMETERS angstrom
5.366 0.000 0.000
0.000 2.188 6.264
0.000 -2.188 6.264
```



Record 4
The following is a PBE calculation of a geometry-optimized Ba2BiPdAu6 structure, from Alexandria. Values from VASP.

Results
- formation energy from the elements (eV per formula unit) = -4.41
- M_tot (μB per cell) = 0.0

Cell and atoms, written as Quantum ESPRESSO input:
```
&SYSTEM
  ibrav = 0, nat = 10, ntyp = 4
/
ATOMIC_SPECIES
Ba 137.33 Ba.upf
Bi 208.98 Bi.upf
Pd 106.42 Pd.upf
Au 196.97 Au.upf
ATOMIC_POSITIONS angstrom
Ba -1.385 0.000 1.881
Ba 8.356 0.000 5.101
Bi 3.486 0.000 3.491
Pd 6.915 0.000 0.000
Au -1.642 1.393 5.330
Au 4.138 0.000 0.586
Au 8.614 1.393 1.653
Au -1.642 -1.393 5.330
Au 2.833 0.000 6.397
Au 8.614 -1.393 1.653
CELL_PARAMETERS angstrom
6.915 -2.812 0.000
6.915 2.812 0.000
-6.858 0.000 6.982
```



What did we get for DOS(E_F)? Answer: 2.7; 10.4; 3.6; 3.6 states/eV/f.u., in the order shown.